Entry 1:
# CrPb2Cl | Alexandria | PBE-GGA | relaxed
# * distance to the lowest polymorph of the same formula: 382.1 meV per atom
# * uncorrected formation energy: 0.30 eV/atom
# * N(E_F): 3.29 states/eV/f.u.
# * final energy: -4.42 eV/atom
data_CrPb2Cl
_chemical_formula_sum 'Cr4 Pb8 Cl4'
_symmetry_space_group_name_H-M 'F m -3 m'
_symmetry_Int_Tables_number 225
_symmetry_space_group_name_Hall '-F 4 2 3'
_cell_length_a 7.3947
_cell_length_b 7.3947
_cell_length_c 7.3947
_cell_angle_alpha 90.00
_cell_angle_beta 90.00
_cell_angle_gamma 90.00
loop_
_atom_site_label
_atom_site_fract_x
_atom_site_fract_y
_atom_site_fract_z
Cr1 0.0000 0.0000 0.0000
Pb1 0.2500 0.2500 0.2500
Cl1 0.0000 0.0000 0.5000

Entry 2:
# CrPbCl | Alexandria | PBE-GGA | relaxed
# * distance to the lowest polymorph of the same formula: 0.0 meV per atom
# * uncorrected formation energy: -0.09 eV/atom
# * N(E_F): 4.96 states/eV/f.u.
# * final energy: -5.15 eV/atom
data_CrPbCl
_chemical_formula_sum 'Cr1 Pb1 Cl1'
_symmetry_space_group_name_H-M 'P 3 m 1'
_symmetry_Int_Tables_number 156
_cell_length_a 3.4447
_cell_length_b 3.4447
_cell_length_c 7.6344
_cell_angle_alpha 90.00
_cell_angle_beta 90.00
_cell_angle_gamma 120.00
loop_
_symmetry_equiv_pos_as_xyz
'x,y,z'
'-y,x-y,z'
'-x+y,-x,z'
'-y,-x,z'
'-x+y,y,z'
'x,x-y,z'
loop_
_atom_site_label
_atom_site_fract_x
_atom_site_fract_y
_atom_site_fract_z
Cr1 0.0000 0.0000 0.0000
Pb1 0.6667 0.3333 0.3129
Cl1 0.3333 0.6667 0.8115

Entry 3:
# CrPbCl3 | Alexandria | PBE-GGA | relaxed
# * uncorrected formation energy: -0.65 eV/atom
# * N(E_F): 2.95 states/eV/f.u.
# * final energy: -4.43 eV/atom
data_CrPbCl3
_chemical_formula_sum 'Cr1 Pb1 Cl3'
_symmetry_space_group_name_H-M 'P m -3 m'
_symmetry_Int_Tables_number 221
_symmetry_space_group_name_Hall '-P 4 2 3'
_cell_length_a 4.9575
_cell_length_b 4.9575
_cell_length_c 4.9575
_cell_angle_alpha 90.00
_cell_angle_beta 90.00
_cell_angle_gamma 90.00
loop_
_atom_site_label
_atom_site_fract_x
_atom_site_fract_y
_atom_site_fract_z
Cr1 0.0000 0.0000 0.0000
Pb1 0.5000 0.5000 0.5000
Cl1 0.0000 0.0000 0.5000

Entry 4:
# CrPb2Cl | Alexandria | PBE-GGA | relaxed
# * distance to the lowest polymorph of the same formula: 333.9 meV per atom
# * uncorrected formation energy: 0.25 eV/atom
# * N(E_F): 2.17 states/eV/f.u.
# * final energy: -4.47 eV/atom
data_CrPb2Cl
_chemical_formula_sum 'Cr2 Pb4 Cl2'
_symmetry_space_group_name_H-M 'I m m m'
_symmetry_Int_Tables_number 71
_symmetry_space_group_name_Hall '-I 2 2'
_cell_length_a 4.5483
_cell_length_b 4.9509
_cell_length_c 9.1133
_cell_angle_alpha 90.00
_cell_angle_beta 90.00
_cell_angle_gamma 90.00
loop_
_atom_site_label
_atom_site_fract_x
_atom_site_fract_y
_atom_site_fract_z
Cr1 0.0000 0.0000 0.0000
Pb1 0.0000 0.5000 0.2699
Cl1 0.0000 0.0000 0.5000

Entry 5:
# CrPb2Cl | Alexandria | PBE-GGA | relaxed
# * distance to the lowest polymorph of the same formula: 90.3 meV per atom
# * uncorrected formation energy: 0.01 eV/atom
# * N(E_F): 1.31 states/eV/f.u.
# * final energy: -4.71 eV/atom
data_CrPb2Cl
_chemical_formula_sum 'Cr2 Pb4 Cl2'
_symmetry_space_group_name_H-M 'C 1 m 1'
_symmetry_Int_Tables_number 8
_cell_length_a 11.9934
_cell_length_b 3.3895
_cell_length_c 5.7035
_cell_angle_alpha 90.00
_cell_angle_beta 118.26
_cell_angle_gamma 90.00
loop_
_symmetry_equiv_pos_as_xyz
'x,y,z'
'x,-y,z'
'x+1/2,y+1/2,z'
'x+1/2,-y+1/2,z'
loop_
_atom_site_label
_atom_site_fract_x
_atom_site_fract_y
_atom_site_fract_z
Cr1 0.0000 0.0000 0.0000
Pb1 0.2700 0.0000 0.7707
Pb2 0.4784 0.0000 0.4795
Cl1 0.1716 0.5000 0.1726

Entry 6:
# CrPb2Cl | Alexandria | PBE-GGA | relaxed
# * distance to the lowest polymorph of the same formula: 78.3 meV per atom
# * uncorrected formation energy: 0.00 eV/atom
# * N(E_F): 1.64 states/eV/f.u.
# * final energy: -4.72 eV/atom
data_CrPb2Cl
_chemical_formula_sum 'Cr1 Pb2 Cl1'
_symmetry_space_group_name_H-M 'P 4 m m'
_symmetry_Int_Tables_number 99
_cell_length_a 3.4121
_cell_length_b 3.4121
_cell_length_c 8.9682
_cell_angle_alpha 90.00
_cell_angle_beta 90.00
_cell_angle_gamma 90.00
loop_
_symmetry_equiv_pos_as_xyz
'x,y,z'
'-y,x,z'
'-x,-y,z'
'y,-x,z'
'-x,y,z'
'y,x,z'
'x,-y,z'
'-y,-x,z'
loop_
_atom_site_label
_atom_site_fract_x
_atom_site_fract_y
_atom_site_fract_z
Cr1 0.0000 0.0000 0.0000
Pb1 0.0000 0.0000 0.5111
Pb2 0.5000 0.5000 0.2342
Cl1 0.5000 0.5000 0.8534

Entry 7:
# CrPb2Cl | Alexandria | PBE-GGA | relaxed
# * distance to the lowest polymorph of the same formula: 27.3 meV per atom
# * uncorrected formation energy: -0.05 eV/atom
# * N(E_F): 2.45 states/eV/f.u.
# * final energy: -4.77 eV/atom
data_CrPb2Cl
_chemical_formula_sum 'Cr1 Pb2 Cl1'
_symmetry_space_group_name_H-M 'P 1 m 1'
_symmetry_Int_Tables_number 6
_cell_length_a 4.0109
_cell_length_b 3.4600
_cell_length_c 8.2012
_cell_angle_alpha 90.00
_cell_angle_beta 103.89
_cell_angle_gamma 90.00
loop_
_symmetry_equiv_pos_as_xyz
'x,y,z'
'x,-y,z'
loop_
_atom_site_label
_atom_site_fract_x
_atom_site_fract_y
_atom_site_fract_z
Cr1 0.0000 0.0000 0.0000
Pb1 0.4077 0.5000 0.8110
Pb2 0.7830 0.0000 0.5558
Cl1 0.1053 0.5000 0.2148

Entry 8:
# CrPb2Cl6 | Alexandria | PBE-GGA | relaxed
# * distance to the lowest polymorph of the same formula: 0.0 meV per atom
# * uncorrected formation energy: -1.07 eV/atom
# * final energy: -4.20 eV/atom
data_CrPb2Cl6
_chemical_formula_sum 'Cr2 Pb4 Cl12'
_symmetry_space_group_name_H-M 'P 1 21/c 1'
_symmetry_Int_Tables_number 14
_cell_length_a 6.9562
_cell_length_b 6.9972
_cell_length_c 13.3511
_cell_angle_alpha 90.00
_cell_angle_beta 117.69
_cell_angle_gamma 90.00
loop_
_symmetry_equiv_pos_as_xyz
'x,y,z'
'-x,-y,-z'
'-x,y+1/2,-z+1/2'
'x,-y+1/2,z+1/2'
loop_
_atom_site_label
_atom_site_fract_x
_atom_site_fract_y
_atom_site_fract_z
Cr1 0.0000 0.0000 0.0000
Pb1 0.3322 0.0608 0.8090
Cl1 0.0073 0.6630 0.3445
Cl2 0.2950 0.7127 0.1487
Cl3 0.3162 0.1772 0.0278

Entry 9:
# CrPb2Cl | Alexandria | PBE-GGA | relaxed
# * distance to the lowest polymorph of the same formula: 53.9 meV per atom
# * uncorrected formation energy: -0.03 eV/atom
# * N(E_F): 2.53 states/eV/f.u.
# * final energy: -4.75 eV/atom
data_CrPb2Cl
_chemical_formula_sum 'Cr2 Pb4 Cl2'
_symmetry_space_group_name_H-M 'C m m 2'
_symmetry_Int_Tables_number 35
_cell_length_a 3.5991
_cell_length_b 6.0449
_cell_length_c 9.8675
_cell_angle_alpha 90.00
_cell_angle_beta 90.00
_cell_angle_gamma 90.00
loop_
_symmetry_equiv_pos_as_xyz
'x,y,z'
'-x,-y,z'
'-x,y,z'
'x,-y,z'
'x+1/2,y+1/2,z'
'-x+1/2,-y+1/2,z'
'-x+1/2,y+1/2,z'
'x+1/2,-y+1/2,z'
loop_
_atom_site_label
_atom_site_fract_x
_atom_site_fract_y
_atom_site_fract_z
Cr1 0.0000 0.0000 0.0000
Pb1 0.0000 0.0000 0.5182
Pb2 0.0000 0.5000 0.2344
Cl1 0.0000 0.5000 0.8355

Entry 10:
# CrPb2Cl | Alexandria | PBE-GGA | relaxed
# * distance to the lowest polymorph of the same formula: 0.0 meV per atom
# * uncorrected formation energy: -0.08 eV/atom
# * N(E_F): 1.43 states/eV/f.u.
# * final energy: -4.80 eV/atom
data_CrPb2Cl
_chemical_formula_sum 'Cr3 Pb6 Cl3'
_symmetry_space_group_name_H-M 'R 3 m'
_symmetry_Int_Tables_number 160
_symmetry_space_group_name_Hall 'R 3 -2"'
_cell_length_a 3.6098
_cell_length_b 3.6098
_cell_length_c 28.5138
_cell_angle_alpha 90.00
_cell_angle_beta 90.00
_cell_angle_gamma 120.00
loop_
_atom_site_label
_atom_site_fract_x
_atom_site_fract_y
_atom_site_fract_z
Cr1 0.0000 0.0000 0.0000
Pb1 0.0000 0.0000 0.5020
Pb2 0.0000 0.0000 0.7419
Cl1 0.0000 0.0000 0.2832